# 1
An optimized crystal structure of Na2LiSb3Au4. Source: Alexandria, functional PBE.

- Formation energy (no corrections): -3.17 eV/f.u.
- Space group: P-4m2

a = 4.630 Å, b = 4.630 Å, c = 11.436 Å
α = 90.00°, β = 90.00°, γ = 90.00°
Fractional coordinates of all 10 atoms:
Na (0.500, 0.000, 0.231)
Na (0.000, 0.500, 0.769)
Li (0.500, 0.500, 0.500)
Sb (0.000, 0.000, 0.500)
Sb (0.500, 0.000, 0.861)
Sb (0.000, 0.500, 0.139)
Au (0.500, 0.500, 0.000)
Au (0.000, 0.000, 0.000)
Au (0.500, 0.000, 0.627)
Au (0.000, 0.500, 0.373)

# 2
An optimized crystal structure of NaRe2HgIr. Source: Alexandria, functional PBE.

- Final energy: -20.83 eV/cell
- Space group: P4/mmm

a = 4.573 Å, b = 4.526 Å, c = 4.573 Å
α = 90.00°, β = 90.00°, γ = 90.00°
Each line ends with the local moment (μB).
Fractional coordinates of all 5 atoms:
Re (0.000, 0.000, 0.500)  1.58
Re (0.500, 0.000, 0.000)  1.62
Ir (0.500, 0.500, 0.500)  0.53
Hg (0.000, 0.500, 0.000)  -0.01
Na (0.000, 0.000, 0.000)  0.05

# 3
An optimized crystal structure of Cs2NdAg2Br6. Source: Alexandria, functional PBE.

- Formation energy (no corrections): -13.93 eV/f.u.
- Space group: C2/m

a = 8.293 Å, b = 8.172 Å, c = 9.238 Å
α = 116.89°, β = 90.00°, γ = 120.49°
Each line ends with the local moment (μB).
Fractional coordinates of all 11 atoms:
Cs (0.712, 0.425, 0.180)  0.00
Cs (0.288, 0.575, 0.820)  0.00
Nd (0.500, 0.000, 0.500)  0.04
Ag (0.954, 0.908, 0.828)  0.12
Ag (0.046, 0.092, 0.172)  0.12
Br (0.730, 0.459, 0.585)  0.02
Br (0.205, 0.885, 0.233)  0.03
Br (0.320, 0.115, 0.767)  0.03
Br (0.795, 0.115, 0.767)  0.03
Br (0.680, 0.885, 0.233)  0.03
Br (0.270, 0.541, 0.415)  0.02

# 4
An optimized crystal structure of AgBi3Pd3. Source: Alexandria, functional PBE.

- Final energy: -62.48 eV/cell
- Space group: C2/m

a = 6.038 Å, b = 6.038 Å, c = 8.919 Å
α = 89.44°, β = 89.44°, γ = 110.57°
Fractional coordinates of all 14 atoms:
Ag (0.704, 0.704, 0.959)
Ag (0.296, 0.296, 0.041)
Bi (0.545, 0.545, 0.309)
Bi (0.166, 0.834, 0.500)
Bi (0.834, 0.166, 0.500)
Bi (0.217, 0.783, 0.000)
Bi (0.783, 0.217, 0.000)
Bi (0.455, 0.455, 0.691)
Pd (0.947, 0.947, 0.228)
Pd (0.964, 0.513, 0.735)
Pd (0.513, 0.964, 0.735)
Pd (0.036, 0.487, 0.265)
Pd (0.487, 0.036, 0.265)
Pd (0.053, 0.053, 0.772)

# 5
An optimized crystal structure of BaMgReO6. Source: Alexandria, functional PBE.

- Formation energy (no corrections): -18.05 eV/f.u.
- Space group: C2

a = 5.482 Å, b = 5.481 Å, c = 5.487 Å
α = 89.85°, β = 90.15°, γ = 59.05°
Each line ends with the local moment (μB).
Fractional coordinates of all 9 atoms:
Ba (0.992, 0.992, 0.000)  0.02
Mg (0.676, 0.676, 0.500)  0.00
Re (0.318, 0.318, 0.500)  -0.04
O (0.030, 0.384, 0.288)  0.02
O (0.384, 0.030, 0.712)  0.02
O (0.593, 0.388, 0.672)  0.42
O (0.027, 0.591, 0.699)  0.00
O (0.388, 0.594, 0.328)  0.42
O (0.591, 0.028, 0.301)  0.00

# 6
An optimized crystal structure of HfPaMn4. Source: Alexandria, functional PBE.

- Final energy: -56.64 eV/cell
- Space group: F-43m

a = 5.037 Å, b = 5.037 Å, c = 5.037 Å
α = 60.00°, β = 60.00°, γ = 60.00°
Each line ends with the local moment (μB).
Fractional coordinates of all 6 atoms:
Pa (0.000, 0.000, 0.000)  -0.30
Hf (0.250, 0.250, 0.250)  -0.34
Mn (0.625, 0.625, 0.125)  1.63
Mn (0.625, 0.125, 0.625)  1.63
Mn (0.625, 0.625, 0.625)  1.63
Mn (0.125, 0.625, 0.625)  1.63